[1]
# Co3SiSe

A relaxed structure of Co3SiSe (PBE-GGA, Alexandria).

a = 4.3237 Å, b = 4.3237 Å, c = 4.3237 Å
α = 90.00°, β = 90.00°, γ = 90.00°
With the nearest neighbours (Å) after each atom.
Element x y z (fractional)
Si (0.5000, 0.5000, 0.5000)  12 Co 3.06
Co (0.0000, 0.5000, 0.0000)  2 Se 2.16
Co (0.0000, 0.0000, 0.5000)  2 Se 2.16
Co (0.5000, 0.0000, 0.0000)  2 Se 2.16
Se (0.0000, 0.0000, 0.0000)  6 Co 2.16

Calculated values
- D(E_F) (states/eV/f.u.) = 7.5
- raw total energy (eV/cell) = -26.175
- formation energy without anion corrections (kJ per mole of atoms) = 78.2
- polymorph energy (0 for the lowest one) (eV/atom) = 0.176

---

[2]
# BiSb2I6

A relaxed structure of BiSb2I6 (PBE-GGA, Alexandria).

a = 8.7336 Å, b = 8.7336 Å, c = 8.5677 Å
α = 59.36°, β = 59.36°, γ = 60.00°
With the nearest neighbours (Å) after each atom.
Element x y z (fractional)
Bi (0.3316, 0.3316, 0.0051)  6 I 3.14-3.16
Sb (0.7360, 0.7360, 0.7919)  1 Sb 2.93, 3 I 3.04
Sb (0.5951, 0.5951, 0.2146)  1 Sb 2.93, 3 I 3.04
I (0.7119, 0.4209, 0.7561)  1 Sb 3.04, 1 Bi 3.14
I (0.1111, 0.7119, 0.7561)  1 Sb 3.04, 1 Bi 3.14
I (0.4209, 0.1111, 0.7561)  1 Sb 3.04, 1 Bi 3.14
I (0.2503, 0.5639, 0.2410)  1 Sb 3.04, 1 Bi 3.16
I (0.9447, 0.2503, 0.2410)  1 Sb 3.04, 1 Bi 3.16
I (0.5639, 0.9447, 0.2410)  1 Sb 3.04, 1 Bi 3.16

Calculated values
- D(E_F) (states/eV/f.u.) = 5.6
- raw total energy (eV/cell) = -22.918
- formation energy without anion corrections (kJ per mole of atoms) = -16.0

---

[3]
# AcPaAu2O8

A relaxed structure of AcPaAu2O8 (PBE-GGA, Alexandria).

a = 6.3645 Å, b = 6.3645 Å, c = 6.3645 Å
α = 109.12°, β = 109.12°, γ = 110.17°
With the nearest neighbours (Å) after each atom.
Element x y z (fractional)
Ac (0.0000, 0.0000, 0.0000)  8 O 2.51-2.60
Pa (0.2500, 0.7500, 0.5000)  8 O 2.22-2.39
Au (0.7500, 0.2500, 0.5000)  4 O 1.98
Au (0.5000, 0.5000, 0.0000)  4 O 2.13
O (0.3719, 0.0337, 0.3382)  1 Au 1.98
O (0.2923, 0.4950, 0.2026)  1 Au 2.13, 1 Pa 2.22
O (0.2923, 0.0897, 0.7974)  1 Au 2.13, 1 Pa 2.22
O (0.6954, 0.0337, 0.6618)  1 Au 1.98
O (0.9103, 0.7077, 0.2026)  1 Au 2.13, 1 Pa 2.22
O (0.9663, 0.3046, 0.3382)  1 Au 1.98
O (0.9663, 0.6281, 0.6618)  1 Au 1.98
O (0.5050, 0.7077, 0.7974)  1 Au 2.13, 1 Pa 2.22

Calculated values
- D(E_F) (states/eV/f.u.) = 3.6
- raw total energy (eV/cell) = -77.285
- formation energy without anion corrections (kJ per mole of atoms) = -140.4

---

[4]
# Nd19Dy6Y4

A relaxed structure of Nd19Dy6Y4 (PBE-GGA, Alexandria).

a = 11.0169 Å, b = 11.0169 Å, c = 11.0169 Å
α = 109.47°, β = 109.47°, γ = 109.47°
With the nearest neighbours (Å) after each atom.
Element x y z (fractional)
Nd (0.7399, 0.0000, 0.7399)  5 Nd 3.31-3.67, 2 Y 3.40, 2 Dy 3.44
Nd (0.2601, 0.0000, 0.2601)  5 Nd 3.31-3.67, 2 Y 3.40, 2 Dy 3.44
Nd (0.2601, 0.2601, 0.0000)  5 Nd 3.31-3.67, 2 Y 3.40, 2 Dy 3.44
Nd (0.7399, 0.7399, 0.0000)  5 Nd 3.31-3.67, 2 Y 3.40, 2 Dy 3.44
Nd (0.0000, 0.7399, 0.7399)  5 Nd 3.31-3.67, 2 Y 3.40, 2 Dy 3.44
Nd (0.0000, 0.2601, 0.2601)  5 Nd 3.31-3.67, 2 Y 3.40, 2 Dy 3.44
Nd (0.0000, 0.0000, 0.0000)  6 Nd 3.31
Nd (0.1990, 0.2193, 0.5425)  1 Dy 3.23, 2 Y 3.40-3.50, 1 Nd 3.43
Nd (0.8010, 0.3435, 0.0203)  1 Dy 3.23, 2 Y 3.40-3.50, 1 Nd 3.43
Nd (0.6768, 0.6565, 0.4575)  1 Dy 3.23, 2 Y 3.40-3.50, 1 Nd 3.43
Nd (0.0203, 0.8010, 0.3435)  1 Dy 3.23, 2 Y 3.40-3.50, 1 Nd 3.43
Nd (0.3232, 0.7807, 0.9797)  1 Dy 3.23, 2 Y 3.40-3.50, 1 Nd 3.43
Nd (0.5425, 0.1990, 0.2193)  1 Dy 3.23, 2 Y 3.40-3.50, 1 Nd 3.43
Nd (0.9797, 0.3232, 0.7807)  1 Dy 3.23, 2 Y 3.40-3.50, 1 Nd 3.43
Nd (0.4575, 0.6768, 0.6565)  1 Dy 3.23, 2 Y 3.40-3.50, 1 Nd 3.43
Nd (0.7807, 0.9797, 0.3232)  1 Dy 3.23, 2 Y 3.40-3.50, 1 Nd 3.43
Nd (0.3435, 0.0203, 0.8010)  1 Dy 3.23, 2 Y 3.40-3.50, 1 Nd 3.43
Nd (0.2193, 0.5425, 0.1990)  1 Dy 3.23, 2 Y 3.40-3.50, 1 Nd 3.43
Nd (0.6565, 0.4575, 0.6768)  1 Dy 3.23, 2 Y 3.40-3.50, 1 Nd 3.43
Dy (0.3751, 0.5000, 0.8751)  1 Dy 3.18, 4 Nd 3.23-3.44
Dy (0.6249, 0.5000, 0.1249)  1 Dy 3.18, 4 Nd 3.23-3.44
Dy (0.1249, 0.6249, 0.5000)  1 Dy 3.18, 4 Nd 3.23-3.44
Dy (0.8751, 0.3751, 0.5000)  1 Dy 3.18, 4 Nd 3.23-3.44
Dy (0.5000, 0.8751, 0.3751)  1 Dy 3.18, 4 Nd 3.23-3.44
Dy (0.5000, 0.1249, 0.6249)  1 Dy 3.18, 4 Nd 3.23-3.44
Y (0.0000, 0.0000, 0.6395)  9 Nd 3.40-3.50
Y (0.0000, 0.6395, 0.0000)  9 Nd 3.40-3.50
Y (0.3605, 0.3605, 0.3605)  9 Nd 3.40-3.50
Y (0.6395, 0.0000, 0.0000)  9 Nd 3.40-3.50

Calculated values
- D(E_F) (states/eV/f.u.) = 42.1
- raw total energy (eV/cell) = -133.472
- calculated formation energy (eV per atom) = 0.37

---

[5]
# Cs2Dy2MnS6

A relaxed structure of Cs2Dy2MnS6 (PBE-GGA, Alexandria).

a = 6.6709 Å, b = 6.6709 Å, c = 8.5423 Å
α = 98.20°, β = 98.20°, γ = 119.31°
With the nearest neighbours (Å) after each atom.
Element x y z (fractional)
Cs (0.8279, 0.1721, 0.0000)  6 S 3.45-3.58, 2 Cs 3.82
Cs (0.1721, 0.8279, 0.0000)  6 S 3.45-3.58, 2 Cs 3.82
Dy (0.3326, 0.6674, 0.5000)  6 S 2.74-2.75
Dy (0.6674, 0.3326, 0.5000)  6 S 2.74-2.75
Mn (0.0000, 0.0000, 0.5000)  6 S 2.43-2.44
S (0.7647, 0.7647, 0.6688)  1 Mn 2.43
S (0.0635, 0.3609, 0.6721)  1 Mn 2.44
S (0.2353, 0.2353, 0.3312)  1 Mn 2.43
S (0.3609, 0.0635, 0.6721)  1 Mn 2.44
S (0.9365, 0.6391, 0.3279)  1 Mn 2.44
S (0.6391, 0.9365, 0.3279)  1 Mn 2.44

Calculated values
- raw total energy (eV/cell) = -60.494
- formation energy without anion corrections (kJ per mole of atoms) = -137.3

---

[6]
# CeIn5Hg6

A relaxed structure of CeIn5Hg6 (PBE-GGA, Alexandria).

a = 4.8132 Å, b = 9.2170 Å, c = 7.4320 Å
α = 89.91°, β = 71.39°, γ = 89.80°
With the nearest neighbours (Å) after each atom.
Element x y z (fractional)
Hg (0.8347, 0.7423, 0.3335)  7 In 3.23-3.38, 1 Ce 3.34, 4 Hg 3.36-3.38
Hg (0.8319, 0.2578, 0.3329)  7 In 3.23-3.39, 1 Ce 3.34, 4 Hg 3.35-3.37
Hg (0.4980, 0.2523, 0.0008)  6 In 3.28-3.40, 2 Ce 3.35, 4 Hg 3.35-3.38
Hg (0.5020, 0.7477, 0.9992)  6 In 3.28-3.40, 2 Ce 3.35, 4 Hg 3.35-3.38
Hg (0.1681, 0.7422, 0.6671)  7 In 3.23-3.39, 1 Ce 3.34, 4 Hg 3.35-3.37
Hg (0.1653, 0.2577, 0.6665)  7 In 3.23-3.38, 1 Ce 3.34, 4 Hg 3.36-3.38
Ce (0.0000, 0.0000, 0.0000)  8 Hg 3.34-3.35, 4 In 3.44-3.46
In (0.6670, 0.4994, 0.6646)  8 Hg 3.23-3.30, 4 In 3.33-3.38
In (0.3245, 0.9991, 0.3513)  2 In 3.18-3.20, 8 Hg 3.25-3.40, 2 Ce 3.44-3.46
In (0.0000, 0.5000, 0.0000)  8 Hg 3.24-3.33, 4 In 3.37-3.38
In (0.6755, 0.0009, 0.6487)  2 In 3.18-3.20, 8 Hg 3.25-3.40, 2 Ce 3.44-3.46
In (0.3330, 0.5006, 0.3355)  8 Hg 3.23-3.30, 4 In 3.33-3.38

Calculated values
- D(E_F) (states/eV/f.u.) = 11.0
- raw total energy (eV/cell) = -22.624
- calculated formation energy (eV per atom) = -0.10

---

- Number 4 is which compound?
  Nd19Dy6Y4

---

Repeat the first record exactly.
# Co3SiSe

A relaxed structure of Co3SiSe (PBE-GGA, Alexandria).

a = 4.3237 Å, b = 4.3237 Å, c = 4.3237 Å
α = 90.00°, β = 90.00°, γ = 90.00°
With the nearest neighbours (Å) after each atom.
Element x y z (fractional)
Si (0.5000, 0.5000, 0.5000)  12 Co 3.06
Co (0.0000, 0.5000, 0.0000)  2 Se 2.16
Co (0.0000, 0.0000, 0.5000)  2 Se 2.16
Co (0.5000, 0.0000, 0.0000)  2 Se 2.16
Se (0.0000, 0.0000, 0.0000)  6 Co 2.16

Calculated values
- D(E_F) (states/eV/f.u.) = 7.5
- raw total energy (eV/cell) = -26.175
- formation energy without anion corrections (kJ per mole of atoms) = 78.2
- polymorph energy (0 for the lowest one) (eV/atom) = 0.176

---

- Among the records above, which one has the highest raw total energy?
  CeIn5Hg6

---

- Look up the raw total energy of the third one.
  -77.285 eV/cell